# AlVBi2O6 | the Alexandria database | PBE with a Hubbard U | optimized geometry
data_AlVBi2O6
_space_group_name_H-M_alt 'P 1 21/c 1'
_space_group_IT_number 14
_space_group_name_Hall '-P 2ybc'
_cell_length_a 5.472
_cell_length_b 5.591
_cell_length_c 9.458
_cell_angle_alpha 90.00
_cell_angle_beta 125.26
_cell_angle_gamma 90.00
loop_
_atom_site_label
_atom_site_type_symbol
_atom_site_fract_x
_atom_site_fract_y
_atom_site_fract_z
_atom_site_occupancy
Al1 Al 0.000 0.000 0.000 1
V1 V 0.500 0.000 0.500 1
Bi1 Bi 0.256 0.048 0.746 1
O1 O 0.159 0.020 0.244 1
O2 O 0.231 0.715 0.041 1
O3 O 0.330 0.204 0.044 1
# V: 11.8 Å³/atom
# M_tot: 0.20 μB per atom
# Energy: -134.48 eV for the cell shown